7
Lattice="4.5900 0.0000 0.0000 2.2950 3.9750 0.0000 2.2950 1.3250 8.5302" Properties=species:S:1:pos:R:3 comment="PuIn2Ga2Au2 (PBE, optimized geometry)" formation_energy_ev_per_atom=-0.288 pbc="T T T"
Ga 6.8849 3.9750 6.7619
Ga 2.2950 1.3250 1.7683
Au 4.5900 2.6500 1.7785
Au 4.5900 2.6500 6.7517
Pu 0.0000 0.0000 0.0000
In 2.2950 1.3250 5.0752
In 6.8849 3.9750 3.4550